Here is an optimized crystal structure of Tb2NdSm from Alexandria via LeMat-Bulk. Energies are from PBE-GGA.

Calculated values
The calculation puts the magnetic moment at 0.000 μB per cell. The energy of formation is 28 meV/atom.

Lattice parameters (Å, degrees): 12.1619 6.3277 3.6569 90.00 107.43 90.00
Space group C2 (No. 5)
Symmetry-distinct sites (fractional):
Tb: 0.2493 0.0000 0.2477 (multiplicity 4)
Nd: 0.0000 0.6676 0.0000 (multiplicity 2)
Sm: 0.0000 0.1688 0.5000 (multiplicity 2)

***

Here is an optimized crystal structure of LiCrI2 from Alexandria via LeMat-Bulk. Energies are from PBE-GGA.

Calculated values
The uncorrected formation energy is -0.55 eV per formula unit. The calculation puts the magnetic moment at 20.000 μB per cell.

Lattice parameters (Å, degrees): 7.6049 7.6049 7.6049 90.00 90.00 90.00
Space group Fm-3m (No. 225)
Symmetry-distinct sites (fractional):
Li: 0.0000 0.0000 0.0000 (multiplicity 4)
Cr: 0.0000 0.0000 0.5000 (multiplicity 4)
I: 0.2500 0.2500 0.2500 (multiplicity 8)

***

Here is an optimized crystal structure of Pa2Zn12Au7 from Alexandria via LeMat-Bulk. Energies are from PBE-GGA.

Calculated values
The calculation puts the magnetic moment at 0.006 μB per cell. The energy of formation is -200 meV/atom.

Lattice parameters (Å, degrees): 10.4616 10.4616 4.0949 90.00 90.00 120.00
Space group P-3 (No. 147)
Symmetry-distinct sites (fractional):
Pa: 0.3333 0.6667 0.2531 (multiplicity 2)
Zn: 0.0360 0.6079 0.7502 (multiplicity 6)
Zn: 0.1082 0.8432 0.2558 (multiplicity 6)
Au: 0.0000 0.0000 0.0000 (multiplicity 1)
Au: 0.1420 0.4256 0.7496 (multiplicity 6)